# InPtPb4, optimized geometry, DFT PBE
# E_form in eV/atom: 0.44
data_InPtPb4
_cell_length_a 8.958
_cell_length_b 8.958
_cell_length_c 8.958
_cell_angle_alpha 90.00
_cell_angle_beta 90.00
_cell_angle_gamma 90.00
_symmetry_space_group_name_H-M 'F -4 3 m'
_symmetry_Int_Tables_number 216
_symmetry_space_group_name_Hall 'F -4 2 3'
loop_
_atom_site_label
_atom_site_type_symbol
_atom_site_fract_x
_atom_site_fract_y
_atom_site_fract_z
In1 In 0.000 0.000 0.000
Pt1 Pt 0.250 0.250 0.250
Pb1 Pb 0.125 0.125 0.625